Entry 1:
Compound: LiBiRh
Source: Alexandria
Functional: PBE-GGA
Structure: optimized geometry

Output
- symmetry = P4/nmm (129)
- relative energy among the computed polymorphs (eV/atom) = 0.000

a = 4.2412 Å, b = 4.2412 Å, c = 6.5148 Å
α = 90.00°, β = 90.00°, γ = 90.00°
Fractional positions:
Rh: 0.2500 0.7500 0.0000
Bi: 0.2500 0.2500 0.2713
Bi: 0.7500 0.7500 0.7287
Li: 0.7500 0.7500 0.2630
Rh: 0.7500 0.2500 0.0000
Li: 0.2500 0.2500 0.7370

---

Entry 2:
Compound: Li3Bi2Rh2
Source: Alexandria
Functional: PBE-GGA
Structure: optimized geometry

Output
- symmetry = R-3m (166)

a = 4.5988 Å, b = 4.5988 Å, c = 7.3447 Å
α = 90.03°, β = 108.24°, γ = 119.96°
Fractional positions:
Rh: 0.5653 0.2830 0.8482
Bi: 0.1681 0.5844 0.7525
Li: 0.0000 0.0000 0.0000
Li: 0.7146 0.8572 0.5719
Bi: 0.8319 0.4156 0.2475
Rh: 0.4347 0.7170 0.1518
Li: 0.2854 0.1428 0.4281

---

Entry 3:
Compound: LiBi2Rh
Source: Alexandria
Functional: PBE-GGA
Structure: optimized geometry

Output
- symmetry = Immm (71)

a = 3.3069 Å, b = 4.4714 Å, c = 7.1294 Å
α = 108.28°, β = 103.41°, γ = 90.00°
Fractional positions:
Rh: 0.0000 0.5000 0.0000
Li: 0.5000 0.0000 0.0000
Bi: 0.6678 0.6678 0.3355
Bi: 0.3322 0.3322 0.6645

---

Entry 4:
Compound: Li3BiRh
Source: Alexandria
Functional: PBE-GGA
Structure: optimized geometry

Output
- symmetry = Pm-3m (221)
- relative energy among the computed polymorphs (eV/atom) = 0.000

a = 4.5939 Å, b = 4.5939 Å, c = 4.5939 Å
α = 90.00°, β = 90.00°, γ = 90.00°
Fractional positions:
Bi: 0.5000 0.5000 0.5000
Rh: 0.0000 0.0000 0.0000
Li: 0.0000 0.5000 0.0000
Li: 0.5000 0.0000 0.0000
Li: 0.0000 0.0000 0.5000

---

Entry 5:
Compound: Li5Bi6Rh
Source: Alexandria
Functional: PBE-GGA
Structure: optimized geometry

Output
- symmetry = Cmmm (65)

a = 5.0435 Å, b = 6.8823 Å, c = 8.3786 Å
α = 90.00°, β = 72.48°, γ = 90.00°
Fractional positions:
Bi: 0.5000 0.2303 0.0000
Bi: 0.1542 0.2420 0.6917
Li: 0.3168 0.0000 0.3663
Li: 0.6832 0.0000 0.6337
Li: 0.6675 0.5000 0.6651
Bi: 0.8458 0.7580 0.3083
Bi: 0.5000 0.7697 0.0000
Li: 0.3325 0.5000 0.3349
Rh: 0.0000 0.0000 0.0000
Bi: 0.1541 0.7580 0.6917
Li: 0.0000 0.5000 0.0000
Bi: 0.8459 0.2420 0.3083

---

Entry 6:
Compound: Li2BiRh2
Source: Alexandria
Functional: PBE-GGA
Structure: optimized geometry

Output
- symmetry = C2/m (12)
- relative energy among the computed polymorphs (eV/atom) = 0.000

a = 4.4350 Å, b = 5.3928 Å, c = 10.3475 Å
α = 45.78°, β = 77.63°, γ = 65.72°
Fractional positions:
Li: 0.0527 0.5436 0.8510
Li: 0.5528 0.0436 0.3510
Rh: 0.8590 0.3293 0.4526
Rh: 0.1410 0.6707 0.5474
Bi: 0.7500 0.2500 0.7500
Li: 0.4472 0.9564 0.6490
Rh: 0.3591 0.8293 0.9526
Bi: 0.2500 0.7500 0.2500
Li: 0.9473 0.4564 0.1490
Rh: 0.6409 0.1707 0.0474

---

Entry 7:
Compound: LiBi2Rh
Source: Alexandria
Functional: PBE-GGA
Structure: optimized geometry

Output
- symmetry = Cm (8)

a = 4.4139 Å, b = 4.4139 Å, c = 6.1422 Å
α = 69.83°, β = 69.83°, γ = 60.63°
Fractional positions:
Rh: 0.6650 0.6650 0.0002
Li: 0.5044 0.5044 0.4992
Bi: 0.2643 0.2643 0.2054
Bi: 0.0663 0.0663 0.7952

---

Entry 8:
Compound: LiBi3Rh
Source: Alexandria
Functional: PBE-GGA
Structure: optimized geometry

Output
- symmetry = C2/c (15)
- relative energy among the computed polymorphs (eV/atom) = 0.000

a = 6.0981 Å, b = 9.3975 Å, c = 9.3975 Å
α = 90.44°, β = 76.10°, γ = 76.10°
Fractional positions:
Rh: 0.2500 0.0526 0.9474
Rh: 0.2500 0.8253 0.1747
Bi: 0.8008 0.2257 0.0976
Bi: 0.1992 0.7743 0.9024
Li: 0.3318 0.5339 0.6636
Bi: 0.7029 0.6572 0.0826
Bi: 0.2971 0.3428 0.9174
Bi: 0.6992 0.9024 0.7743
Rh: 0.7500 0.9474 0.0526
Rh: 0.7500 0.1747 0.8253
Bi: 0.8203 0.4618 0.7748
Bi: 0.3203 0.7748 0.4618
Li: 0.1682 0.3364 0.4661
Bi: 0.1797 0.5382 0.2252
Bi: 0.7971 0.9174 0.3428
Li: 0.8318 0.6636 0.5339
Li: 0.6682 0.4661 0.3364
Bi: 0.6797 0.2252 0.5382
Bi: 0.3008 0.0976 0.2257
Bi: 0.2029 0.0826 0.6572

---

Entry 9:
Compound: LiBi2Rh
Source: Alexandria
Functional: PBE-GGA
Structure: optimized geometry

Output
- symmetry = I-42d (122)

a = 9.1901 Å, b = 9.1901 Å, c = 6.9565 Å
α = 48.66°, β = 48.66°, γ = 90.00°
Fractional positions:
Li: 0.5000 0.5000 0.0000
Li: 0.2500 0.7500 0.5000
Bi: 0.7380 0.1250 0.2500
Bi: 0.3750 0.2620 0.7500
Rh: 0.7500 0.2500 0.5000
Bi: 0.0120 0.6250 0.2500
Bi: 0.8750 0.9880 0.7500
Rh: 0.0000 0.0000 0.0000

---

Entry 10:
Compound: LiBiRh
Source: Alexandria
Functional: PBE-GGA
Structure: optimized geometry

Output
- symmetry = I4mm (107)
- relative energy among the computed polymorphs (eV/atom) = 0.076

a = 3.5093 Å, b = 3.5093 Å, c = 4.9544 Å
α = 110.74°, β = 110.74°, γ = 90.00°
Fractional positions:
Li: 0.6229 0.6229 0.2459
Bi: 0.9433 0.9433 0.8866
Rh: 0.2838 0.2838 0.5676

---

| no. | ΔE_f (eV per atom) | theoretical density (kg/m3) |
| --- | --- | --- |
| 1 | -0.3781 | 9036 |
| 2 | -0.3919 | 8530 |
| 3 | -0.1208 | 9029 |
| 4 | 0.1435 | 5699 |
| 5 | -0.3090 | 8331 |
| 6 | -0.2169 | 8861 |
| 7 | -0.2321 | 9168 |
| 8 | -0.1803 | 9668 |
| 9 | -0.0890 | 8359 |
| 10 | -0.3021 | 10025 |